Entry 1:
Here is a relaxed Zr2ZnSb crystal from Alexandria via LeMat-Bulk. Energies are from PBE-GGA.

Properties
Total moment (μB per atom): 0.000
Crystal system: orthorhombic

Lattice parameters (Å, degrees): 4.1176 4.9551 8.2273 90.00 90.00 90.00
Positions (direct):
Zr (0.0000, 0.0000, 0.2370)
Zr (0.0000, 0.0000, 0.7630)
Zr (0.5000, 0.5000, 0.2370)
Zr (0.5000, 0.5000, 0.7630)
Zn (0.0000, 0.5000, 0.0000)
Zn (0.5000, 0.0000, 0.0000)
Sb (0.0000, 0.5000, 0.5000)
Sb (0.5000, 0.0000, 0.5000)

Entry 2:
Here is a relaxed ZrZnSb crystal from Alexandria via LeMat-Bulk. Energies are from PBE-GGA.

Properties
Total moment (μB per atom): 0.000
Crystal system: trigonal

Lattice parameters (Å, degrees): 4.4230 4.4230 3.7755 90.00 90.00 120.00
Positions (direct):
Zr (0.0000, 0.0000, 0.0000)
Zn (0.6667, 0.3333, 0.7052)
Sb (0.3333, 0.6667, 0.4558)

Entry 3:
Here is a relaxed ZrZn2Sb2 crystal from Alexandria via LeMat-Bulk. Energies are from PBE-GGA.

Properties
Total moment (μB per atom): 0.000
Crystal system: tetragonal

Lattice parameters (Å, degrees): 7.5694 7.5694 3.8529 90.00 90.00 90.00
Positions (direct):
Zr (0.0000, 0.0000, 0.0000)
Zr (0.5000, 0.5000, 0.0000)
Zn (0.1571, 0.3429, 0.5000)
Zn (0.3429, 0.8429, 0.5000)
Zn (0.6571, 0.1571, 0.5000)
Zn (0.8429, 0.6571, 0.5000)
Sb (0.1484, 0.6484, 0.0000)
Sb (0.3516, 0.1484, 0.0000)
Sb (0.6484, 0.8516, 0.0000)
Sb (0.8516, 0.3516, 0.0000)

Entry 4:
Here is a relaxed ZrZnSb crystal from Alexandria via LeMat-Bulk. Energies are from PBE-GGA.

Properties
Total moment (μB per atom): 0.000
Crystal system: cubic

Lattice parameters (Å, degrees): 6.4955 6.4955 6.4955 90.00 90.00 90.00
Positions (direct):
Zr (0.0000, 0.0000, 0.0000)
Zr (0.0000, 0.5000, 0.5000)
Zr (0.5000, 0.0000, 0.5000)
Zr (0.5000, 0.5000, 0.0000)
Zn (0.2500, 0.2500, 0.7500)
Zn (0.2500, 0.7500, 0.2500)
Zn (0.7500, 0.2500, 0.2500)
Zn (0.7500, 0.7500, 0.7500)
Sb (0.0000, 0.0000, 0.5000)
Sb (0.0000, 0.5000, 0.0000)
Sb (0.5000, 0.0000, 0.0000)
Sb (0.5000, 0.5000, 0.5000)

no.,calculated volume (A^3/atom),uncorrected energy (hartree per atom),calculated density (g cm⁻³)
1,21.0,-0.2165,7.31
2,21.3,-0.1753,7.23
3,22.1,-0.1423,7.00
4,22.8,-0.1655,6.75